# 1
A geometry-optimized MgHgF5 structure. Source: Alexandria via LeMat-Bulk, functional PBE.

The structure in extended XYZ format:
```
14
Lattice="4.4562 -3.3206 0.0000 4.4562 3.3206 0.0000 -3.1544 0.0000 6.9467" Properties=species:S:1:pos:R:3 pbc="T T T"
Mg 0.0000 0.0000 0.0000
Mg -1.5772 0.0000 3.4733
Hg 2.0904 0.3421 5.2100
Hg 3.6676 -0.3421 1.7367
F 2.0904 2.8266 5.2100
F 0.2060 0.3935 4.4047
F 4.1529 1.3469 0.1958
F 1.7832 -0.3935 0.9314
F 3.1823 1.3469 3.2776
F 2.5758 -1.3469 3.6691
F 3.9749 0.3935 6.0153
F 1.6051 -1.3469 6.7509
F 5.5521 -0.3935 2.5420
F 3.6676 -2.8266 1.7367
```

Summary:
**Total magnetization**: 0.121 μB per atom
**ρ**: 5.17 g cm⁻³
**Uncorrected formation energy**: -2.094 eV/atom
**VASP energy**: -3.7018 eV per atom

=====

# 2
A geometry-optimized FeCo2 structure. Source: Alexandria via LeMat-Bulk, functional PBE.

The structure in extended XYZ format:
```
3
Lattice="3.9486 0.0000 0.0000 0.0000 3.9486 0.0000 0.0000 0.0000 2.5942" Properties=species:S:1:pos:R:3 pbc="T T T"
Fe 0.0000 0.0000 0.0000
Co 0.0000 1.9743 1.2971
Co 1.9743 0.0000 1.2971
```

Summary:
**Total magnetization**: 1.934 μB per atom
**DFT formation energy**: 1.75 eV per formula unit
**ρ**: 7.13 g cm⁻³
**VASP energy**: -6.9763 eV per atom

=====

# 3
A geometry-optimized Sc3Ga4Au structure. Source: Alexandria via LeMat-Bulk, functional PBE.

The structure in extended XYZ format:
```
8
Lattice="-1.6275 2.9057 8.3865 1.6275 -2.9057 8.3865 1.6275 2.9057 -8.3865" Properties=species:S:1:pos:R:3 pbc="T T T"
Sc 0.0000 0.0000 0.0000
Sc 1.6275 0.0000 4.5582
Sc 0.0000 2.9057 3.8284
Ga 1.6275 1.3257 -2.0687
Ga 1.6275 1.3257 2.0687
Ga 0.0000 1.5799 6.3179
Ga 0.0000 1.5799 10.4552
Au 0.0000 0.0000 8.3865
```

Summary:
**Total magnetization**: 0.000 μB per atom
**DFT formation energy**: -3.35 eV per formula unit
**ρ**: 6.39 g cm⁻³
**VASP energy**: -4.7165 eV per atom

=====

# 4
A geometry-optimized BiCSN2 structure. Source: Alexandria via LeMat-Bulk, functional PBE.

The structure in extended XYZ format:
```
5
Lattice="4.2909 0.0000 0.0000 0.0000 4.2909 0.0000 0.0000 0.0000 5.6058" Properties=species:S:1:pos:R:3 pbc="T T T"
Bi 0.0000 0.0000 0.0000
C 2.1454 2.1454 2.8029
S 0.0000 0.0000 2.8029
N 0.0000 2.1454 0.0000
N 2.1454 0.0000 0.0000
```

Summary:
**Total magnetization**: 0.692 μB per atom
**ρ**: 4.52 g cm⁻³
**Energy above the lowest structure with this stoichiometry**: 989 meV per atom
**Uncorrected formation energy**: 2.982 eV/atom
**VASP energy**: -3.7949 eV per atom